(1)
# Er2MgSi4Pt3 | the Alexandria database | PBE | optimized geometry
data_Er2MgSi4Pt3
_chemical_formula_sum 'Er2 Mg1 Si4 Pt3'
_symmetry_space_group_name_H-M 'P -4 m 2'
_symmetry_Int_Tables_number 115
_cell_length_a 4.0710
_cell_length_b 4.0710
_cell_length_c 10.6226
_cell_angle_alpha 90.00
_cell_angle_beta 90.00
_cell_angle_gamma 90.00
loop_
_symmetry_equiv_pos_as_xyz
'x,y,z'
'y,-x,-z'
'-x,-y,z'
'-y,x,-z'
'-x,y,z'
'-y,-x,-z'
'x,-y,z'
'y,x,-z'
loop_
_atom_site_label
_atom_site_type_symbol
_atom_site_fract_x
_atom_site_fract_y
_atom_site_fract_z
Er1 Er 0.0000 0.5000 0.2491
Mg1 Mg 0.0000 0.0000 0.5000
Si1 Si 0.0000 0.0000 0.0000
Si2 Si 0.0000 0.5000 0.6499
Si3 Si 0.5000 0.5000 0.0000
Pt1 Pt 0.0000 0.5000 0.8753
Pt2 Pt 0.5000 0.5000 0.5000
# **Raw formation energy**: -0.95 eV/atom
# **ρ**: 10.0 Mg/m³
# **Magnetic moment**: 0.00 μB/cell


(2)
# BaZr2As2 | the Alexandria database | PBE | optimized geometry
data_BaZr2As2
_chemical_formula_sum 'Ba2 Zr4 As4'
_symmetry_space_group_name_H-M 'I 4/m m m'
_symmetry_Int_Tables_number 139
_symmetry_space_group_name_Hall '-I 4 2'
_cell_length_a 5.1683
_cell_length_b 5.1683
_cell_length_c 10.0847
_cell_angle_alpha 90.00
_cell_angle_beta 90.00
_cell_angle_gamma 90.00
loop_
_atom_site_label
_atom_site_type_symbol
_atom_site_fract_x
_atom_site_fract_y
_atom_site_fract_z
Ba1 Ba 0.0000 0.0000 0.0000
Zr1 Zr 0.0000 0.0000 0.3420
As1 As 0.0000 0.5000 0.2500
# **ρ**: 5.8 Mg/m³
# **Magnetic moment**: 2.85 μB/cell
# **Formation enthalpy at 0 K**: -0.6336 eV/atom
# **Polymorph energy (0 for the lowest one)**: 286 meV per atom


(3)
# LaRuC2 | the Alexandria database | PBE | optimized geometry
data_LaRuC2
_chemical_formula_sum 'La4 Ru4 C8'
_symmetry_space_group_name_H-M 'F m -3 m'
_symmetry_Int_Tables_number 225
_symmetry_space_group_name_Hall '-F 4 2 3'
_cell_length_a 5.9525
_cell_length_b 5.9525
_cell_length_c 5.9525
_cell_angle_alpha 90.00
_cell_angle_beta 90.00
_cell_angle_gamma 90.00
loop_
_atom_site_label
_atom_site_type_symbol
_atom_site_fract_x
_atom_site_fract_y
_atom_site_fract_z
La1 La 0.0000 0.0000 0.0000
Ru1 Ru 0.0000 0.0000 0.5000
C1 C 0.2500 0.2500 0.2500
# **ρ**: 8.3 Mg/m³
# **Magnetic moment**: 0.00 μB/cell
# **Formation enthalpy at 0 K**: 0.9772 eV/atom
# **Polymorph energy (0 for the lowest one)**: 1134 meV per atom


(4)
# GaGePt | the Alexandria database | PBE | optimized geometry
data_GaGePt
_chemical_formula_sum 'Ga1 Ge1 Pt1'
_symmetry_space_group_name_H-M 'P 3 m 1'
_symmetry_Int_Tables_number 156
_cell_length_a 3.2370
_cell_length_b 3.2370
_cell_length_c 5.7603
_cell_angle_alpha 90.00
_cell_angle_beta 90.00
_cell_angle_gamma 120.00
loop_
_symmetry_equiv_pos_as_xyz
'x,y,z'
'-y,x-y,z'
'-x+y,-x,z'
'-y,-x,z'
'-x+y,y,z'
'x,x-y,z'
loop_
_atom_site_label
_atom_site_type_symbol
_atom_site_fract_x
_atom_site_fract_y
_atom_site_fract_z
Ga1 Ga 0.0000 0.0000 0.0000
Ge1 Ge 0.3333 0.6667 0.6274
Pt1 Pt 0.6667 0.3333 0.3211
# **ρ**: 10.7 Mg/m³
# **Magnetic moment**: 0.00 μB/cell
# **Formation enthalpy at 0 K**: -0.2481 eV/atom
# **Polymorph energy (0 for the lowest one)**: 241 meV per atom


(5)
# Te2PdI | the Alexandria database | PBE | optimized geometry
data_Te2PdI
_chemical_formula_sum 'Te4 Pd2 I2'
_symmetry_space_group_name_H-M 'C 1 2/m 1'
_symmetry_Int_Tables_number 12
_cell_length_a 7.6782
_cell_length_b 3.1695
_cell_length_c 9.5767
_cell_angle_alpha 90.00
_cell_angle_beta 93.32
_cell_angle_gamma 90.00
loop_
_symmetry_equiv_pos_as_xyz
'x,y,z'
'-x,-y,-z'
'-x,y,-z'
'x,-y,z'
'x+1/2,y+1/2,z'
'-x+1/2,-y+1/2,-z'
'-x+1/2,y+1/2,-z'
'x+1/2,-y+1/2,z'
loop_
_atom_site_label
_atom_site_type_symbol
_atom_site_fract_x
_atom_site_fract_y
_atom_site_fract_z
Te1 Te 0.2281 0.0000 0.1694
Pd1 Pd 0.0000 0.5000 0.0000
I1 I 0.0000 0.5000 0.5000
# **Raw formation energy**: -0.16 eV/atom
# **ρ**: 7.0 Mg/m³
# **Magnetic moment**: 0.00 μB/cell


(6)
# Ca4MnCo | the Alexandria database | PBE | optimized geometry
data_Ca4MnCo
_chemical_formula_sum 'Ca16 Mn4 Co4'
_symmetry_space_group_name_H-M 'F -4 3 m'
_symmetry_Int_Tables_number 216
_symmetry_space_group_name_Hall 'F -4 2 3'
_cell_length_a 9.1507
_cell_length_b 9.1507
_cell_length_c 9.1507
_cell_angle_alpha 90.00
_cell_angle_beta 90.00
_cell_angle_gamma 90.00
loop_
_atom_site_label
_atom_site_type_symbol
_atom_site_fract_x
_atom_site_fract_y
_atom_site_fract_z
Ca1 Ca 0.1245 0.1245 0.1245
Mn1 Mn 0.0000 0.0000 0.5000
Co1 Co 0.2500 0.2500 0.7500
# **ρ**: 2.4 Mg/m³
# **Magnetic moment**: 24.53 μB/cell
# **Formation enthalpy at 0 K**: 1.0482 eV/atom


(7)
# NdLuThZn | the Alexandria database | PBE | optimized geometry
data_NdLuThZn
_chemical_formula_sum 'Nd4 Lu4 Th4 Zn4'
_symmetry_space_group_name_H-M 'F -4 3 m'
_symmetry_Int_Tables_number 216
_symmetry_space_group_name_Hall 'F -4 2 3'
_cell_length_a 7.6306
_cell_length_b 7.6306
_cell_length_c 7.6306
_cell_angle_alpha 90.00
_cell_angle_beta 90.00
_cell_angle_gamma 90.00
loop_
_atom_site_label
_atom_site_type_symbol
_atom_site_fract_x
_atom_site_fract_y
_atom_site_fract_z
Nd1 Nd 0.0000 0.0000 0.0000
Lu1 Lu 0.2500 0.2500 0.7500
Th1 Th 0.0000 0.0000 0.5000
Zn1 Zn 0.2500 0.2500 0.2500
# **ρ**: 9.2 Mg/m³
# **Magnetic moment**: 0.00 μB/cell
# **Formation enthalpy at 0 K**: 0.0679 eV/atom


(8)
# Tb6MgZn5 | the Alexandria database | PBE | optimized geometry
data_Tb6MgZn5
_chemical_formula_sum 'Tb12 Mg2 Zn10'
_symmetry_space_group_name_H-M 'C m m m'
_symmetry_Int_Tables_number 65
_symmetry_space_group_name_Hall '-C 2 2'
_cell_length_a 5.0894
_cell_length_b 15.3268
_cell_length_c 7.2648
_cell_angle_alpha 90.00
_cell_angle_beta 90.00
_cell_angle_gamma 90.00
loop_
_atom_site_label
_atom_site_type_symbol
_atom_site_fract_x
_atom_site_fract_y
_atom_site_fract_z
Tb1 Tb 0.0000 0.0000 0.2390
Tb2 Tb 0.0000 0.3290 0.2470
Mg1 Mg 0.0000 0.5000 0.5000
Zn1 Zn 0.0000 0.1575 0.5000
Zn2 Zn 0.0000 0.1649 0.0000
Zn3 Zn 0.0000 0.5000 0.0000
# **ρ**: 7.6 Mg/m³
# **Magnetic moment**: 0.00 μB/cell
# **Formation enthalpy at 0 K**: -0.2873 eV/atom


(9)
# TlZnMo2 | the Alexandria database | PBE | optimized geometry
data_TlZnMo2
_chemical_formula_sum 'Tl1 Zn1 Mo2'
_symmetry_space_group_name_H-M 'P m m m'
_symmetry_Int_Tables_number 47
_cell_length_a 2.9709
_cell_length_b 4.1497
_cell_length_c 5.7097
_cell_angle_alpha 90.00
_cell_angle_beta 90.00
_cell_angle_gamma 90.00
loop_
_symmetry_equiv_pos_as_xyz
'x,y,z'
'-x,-y,-z'
'-x,-y,z'
'x,y,-z'
'x,-y,-z'
'-x,y,z'
'-x,y,-z'
'x,-y,z'
loop_
_atom_site_label
_atom_site_type_symbol
_atom_site_fract_x
_atom_site_fract_y
_atom_site_fract_z
Tl1 Tl 0.0000 0.0000 0.0000
Zn1 Zn 0.0000 0.0000 0.5000
Mo1 Mo 0.5000 0.5000 0.2926
# **ρ**: 10.9 Mg/m³
# **Magnetic moment**: 0.00 μB/cell
# **Formation enthalpy at 0 K**: 0.5539 eV/atom
# **Polymorph energy (0 for the lowest one)**: 219 meV per atom


(10)
# OsAu | the Alexandria database | PBE | optimized geometry
data_OsAu
_chemical_formula_sum 'Os2 Au2'
_symmetry_space_group_name_H-M 'C m m m'
_symmetry_Int_Tables_number 65
_symmetry_space_group_name_Hall '-C 2 2'
_cell_length_a 2.7471
_cell_length_b 4.7966
_cell_length_c 4.9521
_cell_angle_alpha 90.00
_cell_angle_beta 90.00
_cell_angle_gamma 90.00
loop_
_atom_site_label
_atom_site_type_symbol
_atom_site_fract_x
_atom_site_fract_y
_atom_site_fract_z
Os1 Os 0.0000 0.0000 0.0000
Au1 Au 0.0000 0.5000 0.5000
# **ρ**: 19.7 Mg/m³
# **Magnetic moment**: 0.00 μB/cell
# **Formation enthalpy at 0 K**: 0.7724 eV/atom
# **Polymorph energy (0 for the lowest one)**: 489 meV per atom


(11)
# AlSnGe2 | the Alexandria database | PBE | optimized geometry
data_AlSnGe2
_chemical_formula_sum 'Al3 Sn3 Ge6'
_symmetry_space_group_name_H-M 'R 3 m'
_symmetry_Int_Tables_number 160
_symmetry_space_group_name_Hall 'R 3 -2"'
_cell_length_a 4.1350
_cell_length_b 4.1350
_cell_length_c 18.0951
_cell_angle_alpha 90.00
_cell_angle_beta 90.00
_cell_angle_gamma 120.00
loop_
_atom_site_label
_atom_site_type_symbol
_atom_site_fract_x
_atom_site_fract_y
_atom_site_fract_z
Al1 Al 0.0000 0.0000 0.0000
Sn1 Sn 0.0000 0.0000 0.1690
Ge1 Ge 0.0000 0.0000 0.4055
Ge2 Ge 0.0000 0.0000 0.5998
# **ρ**: 5.4 Mg/m³
# **Magnetic moment**: 0.00 μB/cell
# **Formation enthalpy at 0 K**: 0.1597 eV/atom
# **Polymorph energy (0 for the lowest one)**: 42 meV per atom


(12)
# ZnReSiBi2 | the Alexandria database | PBE | optimized geometry
data_ZnReSiBi2
_chemical_formula_sum 'Zn1 Re1 Si1 Bi2'
_symmetry_space_group_name_H-M 'P 4/m m m'
_symmetry_Int_Tables_number 123
_symmetry_space_group_name_Hall '-P 4 2'
_cell_length_a 5.4847
_cell_length_b 5.4847
_cell_length_c 4.4016
_cell_angle_alpha 90.00
_cell_angle_beta 90.00
_cell_angle_gamma 90.00
loop_
_atom_site_label
_atom_site_type_symbol
_atom_site_fract_x
_atom_site_fract_y
_atom_site_fract_z
Zn1 Zn 0.0000 0.0000 0.0000
Re1 Re 0.5000 0.5000 0.0000
Si1 Si 0.0000 0.0000 0.5000
Bi1 Bi 0.0000 0.5000 0.5000
# **Raw formation energy**: 1.40 eV/atom
# **ρ**: 8.7 Mg/m³
# **Magnetic moment**: 3.30 μB/cell


> Which formula does entry 5 have?

Te2PdI


Repeat the sixth record exactly.
# Ca4MnCo | the Alexandria database | PBE | optimized geometry
data_Ca4MnCo
_chemical_formula_sum 'Ca16 Mn4 Co4'
_symmetry_space_group_name_H-M 'F -4 3 m'
_symmetry_Int_Tables_number 216
_symmetry_space_group_name_Hall 'F -4 2 3'
_cell_length_a 9.1507
_cell_length_b 9.1507
_cell_length_c 9.1507
_cell_angle_alpha 90.00
_cell_angle_beta 90.00
_cell_angle_gamma 90.00
loop_
_atom_site_label
_atom_site_type_symbol
_atom_site_fract_x
_atom_site_fract_y
_atom_site_fract_z
Ca1 Ca 0.1245 0.1245 0.1245
Mn1 Mn 0.0000 0.0000 0.5000
Co1 Co 0.2500 0.2500 0.7500
# **ρ**: 2.4 Mg/m³
# **Magnetic moment**: 24.53 μB/cell
# **Formation enthalpy at 0 K**: 1.0482 eV/atom